# 1
A relaxed NbInAs2Cl crystal, computed with PBE.

## Properties
Its polymorph energy (0 for the lowest one) is 4.89 eV per formula unit. For the energy relative to the elements, uncorrected, the calculation gives 4.56 eV/f.u. The value obtained for the spin magnetization is 1.09 Bohr magnetons per cell.

Unit cell a=5.1393 b=5.1393 c=4.5486 alpha=90.00 beta=90.00 gamma=90.00
Last column: nearest neighbours and their distance in Å.
Space group P4/mmm (No. 123)
Asymmetric unit:
Nb 0.0000 0.0000 0.0000  2 Cl 2.27
In 0.5000 0.5000 0.0000  8 As 3.43, 4 Nb 3.63
As 0.0000 0.5000 0.5000  2 Cl 2.57
Cl 0.0000 0.0000 0.5000  2 Nb 2.27

# 2
A relaxed Zr2ScCd crystal, computed with PBE.

## Properties
Its polymorph energy (0 for the lowest one) is 0.37 eV per formula unit. The value obtained for the spin magnetization is 1.94 Bohr magnetons per cell. The calculation puts the formation energy at -27 meV per atom.

Unit cell a=3.2342 b=3.2342 c=30.8631 alpha=90.00 beta=90.00 gamma=120.00
Last column: nearest neighbours and their distance in Å.
Space group R3m (No. 160, hexagonal axes)
Asymmetric unit:
Zr 0.0000 0.0000 0.0000  9 Zr 3.15-3.23, 3 Sc 3.20
Zr 0.0000 0.0000 0.2510  9 Zr 3.15-3.23, 3 Cd 3.20
Sc 0.0000 0.0000 0.7509  3 Cd 3.16, 3 Zr 3.20, 6 Sc 3.23
Cd 0.0000 0.0000 0.5003  3 Sc 3.16, 3 Zr 3.20, 6 Cd 3.23

# 3
A relaxed Mn2Re2Ni crystal, computed with PBE.

## Properties
The value obtained for the spin magnetization is 0.00 Bohr magnetons per cell. The calculation puts the formation energy at 243 meV per atom.

Unit cell a=6.9178 b=6.9178 c=2.7561 alpha=90.00 beta=90.00 gamma=90.00
Last column: nearest neighbours and their distance in Å.
Space group P4/mbm (No. 127)
Asymmetric unit:
Mn 0.1339 0.3661 0.0000  6 Re 2.40-2.50, 1 Mn 2.62
Re 0.1654 0.6654 0.5000  6 Mn 2.40-2.50
Ni 0.0000 0.0000 0.0000  4 Mn 2.70, 2 Ni 2.76, 8 Re 2.93

# 4
A relaxed TbNd3Tm12 crystal, computed with PBE.

## Properties
The value obtained for the spin magnetization is 0.00 Bohr magnetons per cell. The calculation puts the formation energy at 27 meV per atom.

Unit cell a=4.9888 b=4.9888 c=19.9661 alpha=90.00 beta=90.00 gamma=90.00
Last column: nearest neighbours and their distance in Å.
Space group P4/mmm (No. 123)
Asymmetric unit:
Tb 0.0000 0.0000 0.0000  12 Tm 3.51-3.53
Nd 0.0000 0.0000 0.2494  12 Tm 3.53-3.54
Nd 0.0000 0.0000 0.5000  12 Tm 3.53-3.54
Tm 0.0000 0.5000 0.1234  8 Tm 3.51-3.53, 2 Tb 3.51, 2 Nd 3.54
Tm 0.0000 0.5000 0.3745  8 Tm 3.53-3.54, 4 Nd 3.53-3.54
Tm 0.5000 0.5000 0.0000  8 Tm 3.51, 4 Tb 3.53
Tm 0.5000 0.5000 0.2488  4 Nd 3.53, 8 Tm 3.53-3.54
Tm 0.5000 0.5000 0.5000  4 Nd 3.53, 8 Tm 3.54

# 5
A relaxed Tb7PmEr2 crystal, computed with PBE.

## Properties
Its polymorph energy (0 for the lowest one) is 5.26 eV per formula unit. The value obtained for the spin magnetization is 0.00 Bohr magnetons per cell. The calculation puts the formation energy at 690 meV per atom.

Unit cell a=8.7590 b=16.0531 c=5.6265 alpha=90.00 beta=90.00 gamma=90.00
Last column: nearest neighbours and their distance in Å.
Space group Cmmm (No. 65)
Asymmetric unit:
Tb 0.0000 0.0000 0.0000  2 Er 3.27, 4 Tb 3.38
Tb 0.0000 0.2815 0.5000  2 Er 3.08
Tb 0.1773 0.3847 0.0000  2 Tb 3.11-3.38, 2 Er 3.16-3.29
Pm 0.0000 0.5000 0.5000  10 Tb 3.51-3.71
Er 0.0000 0.2038 0.0000  7 Tb 3.08-3.29

# 6
A relaxed LaTb6Pm6 crystal, computed with PBE.

## Properties
The value obtained for the spin magnetization is 0.00 Bohr magnetons per cell. The calculation puts the formation energy at 250 meV per atom.

Unit cell a=6.7282 b=6.7282 c=11.5517 alpha=90.00 beta=90.00 gamma=120.00
Last column: nearest neighbours and their distance in Å.
Space group P6/mmm (No. 191)
Asymmetric unit:
La 0.0000 0.0000 0.0000  8 Pm 3.88-4.07
Tb 0.0000 0.5000 0.2490  4 Tb 3.36, 6 Pm 3.47-3.57
Pm 0.0000 0.0000 0.3522  1 Pm 3.41, 6 Tb 3.57
Pm 0.3333 0.6667 0.0000  6 Tb 3.47, 3 La 3.88, 3 Pm 3.88
Pm 0.3333 0.6667 0.5000  6 Tb 3.49, 3 Pm 3.88

# 7
A relaxed NaRh3F crystal, computed with PBE.

## Properties
Its polymorph energy (0 for the lowest one) is 0.00 eV per formula unit. For the energy relative to the elements, uncorrected, the calculation gives 3.24 eV/f.u. The value obtained for the spin magnetization is 3.94 Bohr magnetons per cell.

Unit cell a=4.3867 b=4.3867 c=4.3867 alpha=90.00 beta=90.00 gamma=90.00
Last column: nearest neighbours and their distance in Å.
Space group Pm-3m (No. 221)
Asymmetric unit:
Na 0.0000 0.0000 0.0000  12 Rh 3.10
Rh 0.0000 0.5000 0.5000  2 F 2.19
F 0.5000 0.5000 0.5000  6 Rh 2.19

# 8
A relaxed Sr2Cd3In4Ga crystal, computed with PBE.

## Properties
The value obtained for the spin magnetization is 0.00 Bohr magnetons per cell. The calculation puts the formation energy at -280 meV per atom.

Unit cell a=4.7498 b=4.7498 c=12.3314 alpha=90.00 beta=90.00 gamma=90.00
Last column: nearest neighbours and their distance in Å.
Space group P-4m2 (No. 115)
Asymmetric unit:
Sr 0.0000 0.5000 0.2387  8 In 3.61-4.00, 6 Cd 3.66-3.78, 2 Ga 3.78
Cd 0.0000 0.0000 0.0000  4 In 2.87
Cd 0.0000 0.5000 0.6436  5 In 2.78-2.96
In 0.0000 0.0000 0.5000  4 Cd 2.96
In 0.0000 0.5000 0.8690  3 Cd 2.78-2.87, 2 Ga 2.87
In 0.5000 0.5000 0.5000  4 Cd 2.96
Ga 0.5000 0.5000 0.0000  4 In 2.87